VASP calculation (PBE) on Cs2LiPtCl6 after structural relaxation.

Cell lengths 12.876, 12.876, 12.876 Å; angles 33.15, 33.15, 33.15 degrees
Element x y z (fractional)
Cs (0.124, 0.124, 0.124)
Cs (0.293, 0.293, 0.293)
Cs (0.707, 0.707, 0.707)
Cs (0.876, 0.876, 0.876)
Li (0.417, 0.417, 0.417)
Li (0.583, 0.583, 0.583)
Pt (0.000, 0.000, 0.000)
Pt (0.500, 0.500, 0.500)
Cl (0.152, 0.614, 0.614)
Cl (0.196, 0.196, 0.723)
Cl (0.196, 0.723, 0.196)
Cl (0.277, 0.804, 0.804)
Cl (0.386, 0.386, 0.848)
Cl (0.386, 0.848, 0.386)
Cl (0.614, 0.152, 0.614)
Cl (0.614, 0.614, 0.152)
Cl (0.723, 0.196, 0.196)
Cl (0.804, 0.277, 0.804)
Cl (0.804, 0.804, 0.277)
Cl (0.848, 0.386, 0.386)

## Properties
Crystal system: trigonal
SG: R-3m (166)
Formation energy (no corrections) in eV/atom: -1.32